# 1
This record from the Alexandria database describes a geometry-optimized BaGaSnPd3 structure. The functional is PBE.

a b c (Å): 7.221 7.221 6.683
angles (deg): 90.00 90.00 125.79
Fractional positions:
Ba1 0.217 0.783 0.750
Ba2 0.783 0.217 0.250
Ga1 0.481 0.519 0.750
Ga2 0.519 0.481 0.250
Sn1 0.119 0.881 0.250
Sn2 0.881 0.119 0.750
Pd1 0.225 0.225 0.000
Pd2 0.225 0.225 0.500
Pd3 0.325 0.675 0.250
Pd4 0.675 0.325 0.750
Pd5 0.775 0.775 0.000
Pd6 0.775 0.775 0.500

Summary:
* formation enthalpy at 0 K: -0.545 eV per atom
* volume: 23.55 A^3/atom
* final energy: -55.6 eV for the cell shown


# 2
This record from the Alexandria database describes a geometry-optimized Ba3Ga2Sn2Pd4 structure. The functional is PBE.

a b c (Å): 4.549 4.549 17.100
angles (deg): 90.00 90.00 120.00
Fractional positions:
Ba1 0.000 0.000 0.000
Ba2 0.000 0.000 0.274
Ba3 0.000 0.000 0.726
Ga1 0.333 0.667 0.138
Ga2 0.667 0.333 0.862
Sn1 0.333 0.667 0.564
Sn2 0.667 0.333 0.436
Pd1 0.333 0.667 0.406
Pd2 0.333 0.667 0.863
Pd3 0.667 0.333 0.137
Pd4 0.667 0.333 0.594

Summary:
* formation enthalpy at 0 K: -0.556 eV per atom
* volume: 27.86 A^3/atom
* final energy: -46.7 eV for the cell shown


# 3
This record from the Alexandria database describes a geometry-optimized BaGaSn2Pd2 structure. The functional is PBE.

a b c (Å): 4.831 4.831 6.469
angles (deg): 90.00 90.00 90.00
Fractional positions:
Ba1 0.000 0.000 0.000
Ga1 0.000 0.000 0.500
Sn1 0.500 0.500 0.253
Sn2 0.500 0.500 0.747
Pd1 0.000 0.500 0.500
Pd2 0.500 0.000 0.500

Summary:
* formation enthalpy at 0 K: -0.537 eV per atom
* volume: 25.17 A^3/atom
* final energy: -26.6 eV for the cell shown


# 4
This record from the Alexandria database describes a geometry-optimized Ba2Ga4SnPd3 structure. The functional is PBE.

a b c (Å): 4.538 4.538 11.084
angles (deg): 90.00 90.00 90.00
Fractional positions:
Ba1 0.000 0.500 0.243
Ba2 0.500 0.000 0.757
Ga1 0.000 0.000 0.000
Ga2 0.000 0.500 0.644
Ga3 0.500 0.000 0.356
Ga4 0.500 0.500 0.000
Sn1 0.000 0.000 0.500
Pd1 0.000 0.500 0.883
Pd2 0.500 0.000 0.117
Pd3 0.500 0.500 0.500

Summary:
* formation enthalpy at 0 K: -0.606 eV per atom
* volume: 22.83 A^3/atom
* final energy: -41.6 eV for the cell shown


# 5
This record from the Alexandria database describes a geometry-optimized BaGa2SnPd structure. The functional is PBE.

a b c (Å): 5.843 5.843 6.163
angles (deg): 90.00 90.00 90.00
Fractional positions:
Ba1 0.000 0.000 0.000
Ga1 0.000 0.500 0.000
Ga2 0.500 0.000 0.000
Sn1 0.000 0.000 0.500
Pd1 0.500 0.500 0.500

Summary:
* formation enthalpy at 0 K: 1.284 eV per atom
* volume: 42.08 A^3/atom
* final energy: -10.8 eV for the cell shown


# 6
This record from the Alexandria database describes a geometry-optimized BaSr2GaPd structure. The functional is PBE.

a b c (Å): 5.949 5.949 5.111
angles (deg): 90.00 90.00 90.00
Fractional positions:
Ba1 0.000 0.000 0.000
Sr1 0.000 0.500 0.500
Sr2 0.500 0.000 0.500
Ga1 0.500 0.500 0.000
Pd1 0.500 0.500 0.500

Summary:
* formation enthalpy at 0 K: -0.281 eV per atom
* volume: 36.18 A^3/atom
* final energy: -14.9 eV for the cell shown


# 7
This record from the Alexandria database describes a geometry-optimized BaSrGa2Pd2 structure. The functional is PBE.

a b c (Å): 4.438 4.438 9.276
angles (deg): 90.00 90.00 120.00
Fractional positions:
Ba1 0.000 0.000 0.000
Sr1 0.000 0.000 0.500
Ga1 0.333 0.667 0.262
Ga2 0.667 0.333 0.738
Pd1 0.333 0.667 0.735
Pd2 0.667 0.333 0.265

Summary:
* formation enthalpy at 0 K: -0.622 eV per atom
* volume: 26.37 A^3/atom
* final energy: -23.8 eV for the cell shown


# 8
This record from the Alexandria database describes a geometry-optimized BaSrGaPd structure. The functional is PBE.

a b c (Å): 5.535 5.535 5.535
angles (deg): 60.00 60.00 60.00
Fractional positions:
Ba1 0.000 0.000 0.000
Sr1 0.500 0.500 0.500
Ga1 0.250 0.250 0.250
Pd1 0.750 0.750 0.750

Summary:
* formation enthalpy at 0 K: -0.334 eV per atom
* polymorph energy (0 for the lowest one): 195 meV/atom
* volume: 29.98 A^3/atom
* final energy: -13.2 eV for the cell shown


# 9
This record from the Alexandria database describes a geometry-optimized Ba2SrGaPd structure. The functional is PBE.

a b c (Å): 6.302 6.302 5.043
angles (deg): 90.00 90.00 90.00
Fractional positions:
Ba1 0.000 0.500 0.000
Ba2 0.500 0.000 0.000
Sr1 0.000 0.000 0.500
Ga1 0.500 0.500 0.500
Pd1 0.500 0.500 0.000

Summary:
* formation enthalpy at 0 K: -0.240 eV per atom
* volume: 40.05 A^3/atom
* final energy: -14.9 eV for the cell shown


# 10
This record from the Alexandria database describes a geometry-optimized BaSrGaPd structure. The functional is PBE.

a b c (Å): 4.532 4.532 8.646
angles (deg): 105.31 105.31 60.01
Fractional positions:
Ba1 0.000 0.000 0.000
Sr1 0.830 0.830 0.494
Ga1 0.244 0.244 0.735
Pd1 0.577 0.577 0.732

Summary:
* formation enthalpy at 0 K: -0.529 eV per atom
* polymorph energy (0 for the lowest one): 0 meV/atom
* volume: 36.62 A^3/atom
* final energy: -13.9 eV for the cell shown


# 11
This record from the Alexandria database describes a geometry-optimized BaTbGa2Pd5 structure. The functional is PBE.

a b c (Å): 4.390 4.390 9.288
angles (deg): 90.00 90.00 90.00
Fractional positions:
Ba1 0.000 0.000 0.000
Tb1 0.000 0.000 0.500
Ga1 0.500 0.500 0.366
Ga2 0.500 0.500 0.634
Pd1 0.000 0.500 0.244
Pd2 0.000 0.500 0.756
Pd3 0.500 0.000 0.244
Pd4 0.500 0.000 0.756
Pd5 0.500 0.500 0.000

Summary:
* formation enthalpy at 0 K: -0.585 eV per atom
* volume: 19.89 A^3/atom
* final energy: -43.8 eV for the cell shown


# 12
This record from the Alexandria database describes a geometry-optimized Ba2TlGaPd6 structure. The functional is PBE.

a b c (Å): 5.719 6.885 7.222
angles (deg): 77.33 66.74 65.57
Fractional positions:
Ba1 0.249 0.293 0.209
Ba2 0.751 0.707 0.791
Tl1 0.000 0.000 0.000
Ga1 0.500 0.500 0.500
Pd1 0.231 0.755 0.283
Pd2 0.254 0.899 0.595
Pd3 0.269 0.245 0.718
Pd4 0.731 0.755 0.282
Pd5 0.746 0.101 0.405
Pd6 0.769 0.245 0.717

Summary:
* formation enthalpy at 0 K: -0.509 eV per atom
* volume: 23.73 A^3/atom
* final energy: -45.5 eV for the cell shown